PuIn6Ag: relaxed, GGA-PBE.

Space group ... Cmmm, No. 65
Formation energy from the elements ... -0.068 eV per atom
Total magnetization ... 6.0 μB/f.u.
ρ ... 8.6 Mg/m³
VASP energy ... -4.27 eV/atom

Cell: 4.8475 6.5961 6.5961 Å, 72.23 90.00 90.00°
Closest atoms and distances in Å follow each position.
Fractional coordinates of all 8 atoms:
Pu 0.5000 0.0000 0.0000  12 In 3.30-3.35
In 0.0000 0.7887 0.7887  8 In 3.13-3.46, 2 Pu 3.31
In 0.5000 0.0000 0.5000  4 In 3.13, 2 Pu 3.30, 2 Ag 3.30
In 0.0000 0.7026 0.2974  2 Ag 2.89, 3 In 3.15-3.23
In 0.0000 0.2113 0.2113  8 In 3.13-3.46, 2 Pu 3.31
In 0.0000 0.2974 0.7026  2 Ag 2.89, 3 In 3.15-3.23
In 0.5000 0.5000 0.0000  4 In 3.13, 2 Ag 3.30, 2 Pu 3.30
Ag 0.5000 0.5000 0.5000  4 In 2.89